Entry 1:
# BaTlSi, relaxed, DFT PBE-GGA
# **Total magnetization**: 0.000 μB per formula unit
# **Polymorph energy (0 for the lowest one)**: 241 meV/atom
# **Uncorrected formation energy**: -0.081 eV per atom
# **Total energy**: -3.32 eV per atom
data_BaTlSi
_chemical_formula_sum 'Ba4 Tl4 Si4'
_symmetry_space_group_name_H-M 'F -4 3 m'
_symmetry_Int_Tables_number 216
_symmetry_space_group_name_Hall 'F -4 2 3'
_cell_length_a 7.4884
_cell_length_b 7.4884
_cell_length_c 7.4884
_cell_angle_alpha 90.00
_cell_angle_beta 90.00
_cell_angle_gamma 90.00
loop_
_atom_site_label
_atom_site_type_symbol
_atom_site_fract_x
_atom_site_fract_y
_atom_site_fract_z
Ba1 Ba 0.0000 0.0000 0.0000
Tl1 Tl 0.0000 0.0000 0.5000
Si1 Si 0.2500 0.2500 0.2500

***

Entry 2:
# Mn4Ga3Fe4, relaxed, DFT PBE-GGA
# **Total magnetization**: 1.869 μB per formula unit
# **Total energy**: -7.22 eV per atom
data_Mn4Ga3Fe4
_chemical_formula_sum 'Mn4 Ga3 Fe4'
_symmetry_space_group_name_H-M 'P -1'
_symmetry_Int_Tables_number 2
_symmetry_space_group_name_Hall '-P 1'
_cell_length_a 2.5610
_cell_length_b 3.9419
_cell_length_c 13.4511
_cell_angle_alpha 98.42
_cell_angle_beta 90.11
_cell_angle_gamma 90.00
loop_
_atom_site_label
_atom_site_type_symbol
_atom_site_fract_x
_atom_site_fract_y
_atom_site_fract_z
Mn1 Mn 0.0010 0.0511 0.1013
Mn2 Mn 0.4993 0.2248 0.4496
Ga1 Ga 0.4994 0.3932 0.7870
Ga2 Ga 0.5000 0.5000 0.0000
Fe1 Fe 0.0011 0.1437 0.2869
Fe2 Fe 0.0016 0.3036 0.6075